# NaSmGaPb | Alexandria via LeMat-Bulk | PBE | optimized geometry
# calculated total energy = -3.453 eV/atom
# energy of formation from the pure elements = -0.26 eV/atom
data_NaSmGaPb
_cell_length_a 7.498
_cell_length_b 7.498
_cell_length_c 7.498
_cell_angle_alpha 90.00
_cell_angle_beta 90.00
_cell_angle_gamma 90.00
_space_group_name_H-M_alt 'F -4 3 m'
_space_group_IT_number 216
_space_group_name_Hall 'F -4 2 3'
loop_
_atom_site_label
_atom_site_fract_x
_atom_site_fract_y
_atom_site_fract_z
_atom_site_occupancy
Na1 0.000 0.000 0.000 1
Sm1 0.000 0.000 0.500 1
Ga1 0.250 0.250 0.750 1
Pb1 0.250 0.250 0.250 1

---

# Na2Sr2GaPb4 | Alexandria via LeMat-Bulk | PBE | optimized geometry
# calculated total energy = -2.895 eV/atom
# energy of formation from the pure elements = -0.24 eV/atom
data_Na2Sr2GaPb4
_cell_length_a 7.504
_cell_length_b 7.504
_cell_length_c 10.131
_cell_angle_alpha 90.00
_cell_angle_beta 90.00
_cell_angle_gamma 90.00
_space_group_name_H-M_alt 'I 4/m m m'
_space_group_IT_number 139
_space_group_name_Hall '-I 4 2'
loop_
_atom_site_label
_atom_site_fract_x
_atom_site_fract_y
_atom_site_fract_z
_atom_site_occupancy
Na1 0.000 0.000 0.216 1
Sr1 0.000 0.500 0.250 1
Ga1 0.000 0.000 0.500 1
Pb1 0.232 0.232 0.000 1

---

Q: Look up the calculated total energy of the first one.
A: -3.453 eV/atom

---

Q: Look up the calculated total energy of the second one.
A: -2.895 eV/atom

---

Q: Which formula does entry 1 have?
A: NaSmGaPb